(i)
Compound: Ca2CuSb2
Source: the Alexandria database
Functional: PBE-GGA
Structure: relaxed

Structure (CIF):
```
data_Ca2CuSb2
_cell_length_a 6.1969
_cell_length_b 6.1969
_cell_length_c 8.3664
_cell_angle_alpha 90.00
_cell_angle_beta 90.00
_cell_angle_gamma 90.00
_space_group_name_H-M_alt 'I 4/m m m'
_space_group_IT_number 139
_space_group_name_Hall '-I 4 2'
loop_
_atom_site_label
_atom_site_fract_x
_atom_site_fract_y
_atom_site_fract_z
_atom_site_occupancy
Ca1 0.0000 0.5000 0.2500 1
Cu1 0.0000 0.0000 0.0000 1
Sb1 0.0000 0.0000 0.3078 1
```

(ii)
Compound: Ca2CuSb2
Source: the Alexandria database
Functional: PBE-GGA
Structure: relaxed

Structure (CIF):
```
data_Ca2CuSb2
_cell_length_a 7.4316
_cell_length_b 7.4316
_cell_length_c 4.7119
_cell_angle_alpha 90.00
_cell_angle_beta 90.00
_cell_angle_gamma 90.00
_space_group_name_H-M_alt 'P 4/m b m'
_space_group_IT_number 127
_space_group_name_Hall '-P 4 2ab'
loop_
_atom_site_label
_atom_site_fract_x
_atom_site_fract_y
_atom_site_fract_z
_atom_site_occupancy
Ca1 0.1675 0.3325 0.0000 1
Cu1 0.0000 0.0000 0.5000 1
Sb1 0.1448 0.6448 0.5000 1
```

According to the calculations, the structures order from most to least stable as (ii), (i).

(i)
Compound: CaCuSb2Te
Source: the Alexandria database
Functional: PBE-GGA
Structure: relaxed

Structure (CIF):
```
data_CaCuSb2Te
_cell_length_a 5.9492
_cell_length_b 5.9492
_cell_length_c 4.6971
_cell_angle_alpha 90.00
_cell_angle_beta 90.00
_cell_angle_gamma 90.00
_space_group_name_H-M_alt 'P 4/m m m'
_space_group_IT_number 123
_space_group_name_Hall '-P 4 2'
loop_
_atom_site_label
_atom_site_fract_x
_atom_site_fract_y
_atom_site_fract_z
_atom_site_occupancy
Ca1 0.0000 0.0000 0.0000 1
Cu1 0.5000 0.5000 0.0000 1
Sb1 0.0000 0.5000 0.5000 1
Te1 0.5000 0.5000 0.5000 1
```

(ii)
Compound: CaCuSb2Te
Source: the Alexandria database
Functional: PBE-GGA
Structure: relaxed

Structure (CIF):
```
data_CaCuSb2Te
_cell_length_a 5.0746
_cell_length_b 5.0746
_cell_length_c 5.5314
_cell_angle_alpha 90.00
_cell_angle_beta 90.00
_cell_angle_gamma 90.00
_space_group_name_H-M_alt 'P 4/m m m'
_space_group_IT_number 123
_space_group_name_Hall '-P 4 2'
loop_
_atom_site_label
_atom_site_fract_x
_atom_site_fract_y
_atom_site_fract_z
_atom_site_occupancy
Ca1 0.0000 0.0000 0.0000 1
Cu1 0.5000 0.5000 0.5000 1
Sb1 0.0000 0.5000 0.5000 1
Te1 0.5000 0.5000 0.0000 1
```

According to the calculations, the structures order from most to least stable as (ii), (i).

(i)
Compound: CaScCu
Source: the Alexandria database
Functional: PBE-GGA
Structure: relaxed

Structure (CIF):
```
data_CaScCu
_cell_length_a 3.3905
_cell_length_b 3.3905
_cell_length_c 12.3728
_cell_angle_alpha 90.00
_cell_angle_beta 90.00
_cell_angle_gamma 90.00
_space_group_name_H-M_alt 'I 4 m m'
_space_group_IT_number 107
_space_group_name_Hall 'I 4 -2'
loop_
_atom_site_label
_atom_site_fract_x
_atom_site_fract_y
_atom_site_fract_z
_atom_site_occupancy
Ca1 0.0000 0.0000 0.0000 1
Sc1 0.0000 0.0000 0.7281 1
Cu1 0.0000 0.0000 0.3361 1
```

(ii)
Compound: CaScCu
Source: the Alexandria database
Functional: PBE-GGA
Structure: relaxed

Structure (CIF):
```
data_CaScCu
_cell_length_a 4.5535
_cell_length_b 4.5535
_cell_length_c 4.2310
_cell_angle_alpha 90.00
_cell_angle_beta 90.00
_cell_angle_gamma 120.00
_space_group_name_H-M_alt 'P 3 m 1'
_space_group_IT_number 156
loop_
_space_group_symop_operation_xyz
'x,y,z'
'-y,x-y,z'
'-x+y,-x,z'
'-y,-x,z'
'-x+y,y,z'
'x,x-y,z'
loop_
_atom_site_label
_atom_site_fract_x
_atom_site_fract_y
_atom_site_fract_z
_atom_site_occupancy
Ca1 0.0000 0.0000 0.0000 1
Sc1 0.3333 0.6667 0.5013 1
Cu1 0.6667 0.3333 0.4877 1
```

According to the calculations, the structures order from most to least stable as (i), (ii).

(i)
Compound: Ca2ScCu
Source: the Alexandria database
Functional: PBE-GGA
Structure: relaxed

Structure (CIF):
```
data_Ca2ScCu
_cell_length_a 3.4838
_cell_length_b 3.4838
_cell_length_c 9.0215
_cell_angle_alpha 90.00
_cell_angle_beta 90.00
_cell_angle_gamma 90.00
_space_group_name_H-M_alt 'P 4/m m m'
_space_group_IT_number 123
_space_group_name_Hall '-P 4 2'
loop_
_atom_site_label
_atom_site_fract_x
_atom_site_fract_y
_atom_site_fract_z
_atom_site_occupancy
Ca1 0.0000 0.0000 0.2020 1
Sc1 0.5000 0.5000 0.5000 1
Cu1 0.5000 0.5000 0.0000 1
```

(ii)
Compound: Ca2ScCu
Source: the Alexandria database
Functional: PBE-GGA
Structure: relaxed

Structure (CIF):
```
data_Ca2ScCu
_cell_length_a 3.6734
_cell_length_b 3.6734
_cell_length_c 29.7827
_cell_angle_alpha 90.00
_cell_angle_beta 90.00
_cell_angle_gamma 120.00
_space_group_name_H-M_alt 'R -3 m'
_space_group_IT_number 166
_space_group_name_Hall '-R 3 2"'
loop_
_atom_site_label
_atom_site_fract_x
_atom_site_fract_y
_atom_site_fract_z
_atom_site_occupancy
Ca1 0.0000 0.0000 0.2353 1
Sc1 0.0000 0.0000 0.0000 1
Cu1 0.0000 0.0000 0.5000 1
```

(iii)
Compound: Ca2ScCu
Source: the Alexandria database
Functional: PBE-GGA
Structure: relaxed

Structure (CIF):
```
data_Ca2ScCu
_cell_length_a 3.4652
_cell_length_b 4.1469
_cell_length_c 16.5784
_cell_angle_alpha 90.00
_cell_angle_beta 90.00
_cell_angle_gamma 90.00
_space_group_name_H-M_alt 'I m m m'
_space_group_IT_number 71
_space_group_name_Hall '-I 2 2'
loop_
_atom_site_label
_atom_site_fract_x
_atom_site_fract_y
_atom_site_fract_z
_atom_site_occupancy
Ca1 0.0000 0.0000 0.1613 1
Sc1 0.0000 0.5000 0.0000 1
Cu1 0.0000 0.5000 0.5000 1
```

According to the calculations, the structures order from most to least stable as (iii), (i), (ii).